No. 1
The following is a PBE calculation of crystalline Gd2TcIr at its relaxed geometry, from Alexandria via LeMat-Bulk.

Geometry as POSCAR:
```
Gd2TcIr
1.0
-1.893 1.385 2.584
2.522 -2.594 3.237
3.205 3.623 0.406
Gd Tc Ir
2 1 1
direct
0.000 0.000 0.500
0.000 0.500 0.000
0.500 0.500 0.500
0.500 0.000 0.000
```

## Properties
E_form   -1.002 eV per formula unit

=====

No. 2
The following is a PBE calculation of crystalline Y2PdPt5 at its relaxed geometry, from Alexandria via LeMat-Bulk.

Geometry as POSCAR:
```
Y2PdPt5
1.0
4.129 0.000 0.000
0.000 5.836 0.000
0.000 0.000 11.678
Pt Y Pd
10 4 2
direct
0.000 0.506 0.250
0.500 0.256 0.374
0.000 0.000 0.000
0.000 0.994 0.750
0.000 0.500 0.500
0.500 0.744 0.626
0.500 0.244 0.874
0.000 0.006 0.250
0.000 0.494 0.750
0.500 0.756 0.126
0.500 0.746 0.876
0.500 0.246 0.624
0.500 0.254 0.124
0.500 0.754 0.376
0.000 0.500 0.000
0.000 0.000 0.500
```

## Properties
E_form   -7.829 eV per formula unit

=====

No. 3
The following is a PBE calculation of crystalline RbPdF3 at its relaxed geometry, from Alexandria via LeMat-Bulk.

Geometry as POSCAR:
```
RbPdF3
1.0
-1.874 -0.114 -4.579
-1.654 -4.596 0.791
-4.271 1.830 1.702
Rb F Pd
1 3 1
direct
0.000 0.000 0.000
0.500 0.000 0.000
0.000 0.500 0.000
0.000 0.000 0.500
0.500 0.500 0.500
```

## Properties
Calculated total energy   -2.9560 eV/atom

=====

No. 4
The following is a PBE calculation of crystalline NbInSe3 at its relaxed geometry, from Alexandria via LeMat-Bulk.

Geometry as POSCAR:
```
NbInSe3
1.0
5.112 0.000 0.000
0.000 5.112 0.000
0.000 0.000 5.112
Se Nb In
3 1 1
direct
0.000 0.500 0.000
0.500 0.000 0.000
0.000 0.000 0.500
0.000 0.000 0.000
0.500 0.500 0.500
```

## Properties
Calculated total energy   -5.0238 eV/atom

=====

No. 5
The following is a PBE calculation of crystalline LaPdN2 at its relaxed geometry, from Alexandria via LeMat-Bulk.

Geometry as POSCAR:
```
LaPdN2
1.0
-4.599 2.843 -2.746
-5.321 2.649 1.202
-2.765 5.392 -0.240
N Pd La
2 1 1
direct
0.111 0.111 0.111
0.889 0.889 0.889
0.000 0.000 0.000
0.500 0.500 0.500
```

## Properties
Calculated total energy   -6.7709 eV/atom

=====

No. 6
The following is a PBE calculation of crystalline TaSiSb2 at its relaxed geometry, from Alexandria via LeMat-Bulk.

Geometry as POSCAR:
```
TaSiSb2
1.0
4.998 0.000 0.000
0.000 3.287 0.042
0.000 2.679 5.372
Sb Ta Si
2 1 1
direct
0.000 0.771 0.001
0.000 0.729 0.499
0.500 0.750 0.750
0.500 0.250 0.250
```

## Properties
Calculated total energy   -5.8768 eV/atom

=====

No. 7
The following is a PBE calculation of crystalline RePtSe at its relaxed geometry, from Alexandria via LeMat-Bulk.

Geometry as POSCAR:
```
RePtSe
1.0
6.556 0.013 0.000
5.257 3.917 0.000
-5.906 -1.965 2.058
Se Re Pt
1 1 1
direct
0.701 0.701 0.000
0.327 0.327 0.000
0.972 0.972 0.000
```

## Properties
Calculated total energy   -7.1232 eV/atom

=====

No. 8
The following is a PBE calculation of crystalline LiInSn at its relaxed geometry, from Alexandria via LeMat-Bulk.

Geometry as POSCAR:
```
LiInSn
1.0
9.821 0.000 0.000
0.000 4.633 0.000
0.000 0.000 3.206
Sn In Li
2 2 2
direct
0.844 0.500 0.000
0.156 0.500 0.000
0.654 0.000 0.000
0.346 0.000 0.000
0.500 0.500 0.500
0.000 0.000 0.500
```

## Properties
E_form   -0.451 eV per formula unit

=====

no.,V (Å³ per cell),magnetic moment (μB/f.u.)
1,82.2,13.358
2,281.4,0.000
3,121.2,0.193
4,133.6,0.000
5,78.3,0.001
6,87.7,0.000
7,52.7,0.000
8,145.9,0.000